{
  "formula": "Rb2Cd4Pb5",
  "functional": "PBE",
  "state": "relaxed",
  "cell": [[0.000, 6.105, 8.711], [3.638, 0.000, 8.711], [3.638, 6.105, 0.000]],
  "species": ["Rb", "Rb", "Cd", "Cd", "Cd", "Cd", "Pb", "Pb", "Pb", "Pb", "Pb"],
  "fractional_positions": [[0.130, 0.130, 0.870], [0.870, 0.870, 0.130], [0.227, 0.483, 0.517], [0.483, 0.227, 0.773], [0.517, 0.773, 0.227], [0.773, 0.517, 0.483], [0.000, 0.000, 0.500], [0.250, 0.250, 0.250], [0.500, 0.500, 0.000], [0.500, 0.500, 0.500], [0.750, 0.750, 0.750]]
}

{
  "formula": "Rb2Cd3Pb5",
  "functional": "PBE",
  "state": "relaxed",
  "cell": [[-6.488, 7.289, 3.679], [6.488, -7.289, 3.679], [6.488, 7.289, -3.679]],
  "species": ["Rb", "Rb", "Rb", "Rb", "Cd", "Cd", "Cd", "Cd", "Cd", "Cd", "Pb", "Pb", "Pb", "Pb", "Pb", "Pb", "Pb", "Pb", "Pb", "Pb"],
  "fractional_positions": [[0.127, 0.249, 0.376], [0.373, 0.749, 0.121], [0.627, 0.251, 0.879], [0.873, 0.751, 0.624], [0.123, 0.867, 0.990], [0.250, 0.750, 0.500], [0.377, 0.367, 0.744], [0.623, 0.633, 0.256], [0.750, 0.250, 0.500], [0.877, 0.133, 0.010], [0.001, 0.750, 0.251], [0.117, 0.638, 0.755], [0.250, 0.250, 0.000], [0.383, 0.138, 0.520], [0.499, 0.750, 0.749], [0.501, 0.250, 0.251], [0.617, 0.862, 0.480], [0.750, 0.750, 0.000], [0.883, 0.362, 0.245], [0.999, 0.250, 0.749]]
}

| no. | DFT total energy (eV/atom) | ρ (g/cm³) | Fermi-level density of states (states/eV/f.u.) |
| --- | --- | --- | --- |
| 1 | -2.224 | 7.11 | 5.56 |
| 2 | -2.419 | 7.37 | 4.76 |